The following is a DFT calculation (GGA-PBE) of crystalline ErPu5Au6 at its relaxed geometry.

Output
The value obtained for the energy of formation from the pure elements is -472 meV/atom. As for the density of states at the Fermi level: 46.71 states/eV/f.u. Its magnetic moment is 29.1 Bohr magnetons per cell. For the total energy, the calculation gives -8.463 eV per atom. Its volume is 285 Å³/cell.

Unit cell a=5.073 b=7.404 c=8.849 alpha=65.25 beta=72.69 gamma=89.98
Last column: magnetic moment on the atom in μB.
Fractional coordinates of all 12 atoms:
Pu: 0.683 0.183 0.634  5.39
Pu: 0.346 0.343 0.314  5.50
Pu: 0.000 0.500 0.000  5.46
Pu: 0.654 0.657 0.686  5.50
Pu: 0.317 0.817 0.366  5.39
Au: 0.843 0.607 0.318  0.04
Au: 0.843 0.075 0.318  0.04
Au: 0.500 0.782 0.000  0.03
Au: 0.500 0.218 0.000  0.03
Au: 0.157 0.925 0.682  0.04
Au: 0.157 0.393 0.682  0.04
Er: 0.000 0.000 0.000  0.03


The following is a DFT calculation (GGA-PBE) of crystalline ErPuAu6 at its relaxed geometry.

Output
The value obtained for the energy of formation from the pure elements is -514 meV/atom. As for the density of states at the Fermi level: 14.66 states/eV/f.u. Its magnetic moment is 5.3 Bohr magnetons per cell. For the total energy, the calculation gives -5.334 eV per atom. Its volume is 166 Å³/cell.

Unit cell a=4.868 b=4.884 c=8.522 alpha=89.83 beta=73.41 gamma=60.11
Last column: magnetic moment on the atom in μB.
Fractional coordinates of all 8 atoms:
Er: 0.000 0.000 0.000  0.01
Pu: 0.000 0.500 0.500  5.16
Au: 0.244 0.878 0.634  -0.01
Au: 0.502 0.248 0.749  0.00
Au: 0.253 0.375 0.120  0.00
Au: 0.498 0.752 0.251  0.00
Au: 0.756 0.122 0.366  -0.01
Au: 0.747 0.625 0.880  0.00


The following is a DFT calculation (GGA-PBE) of crystalline ErPuRuAu at its relaxed geometry.

Output
The value obtained for the energy of formation from the pure elements is -358 meV/atom. As for the density of states at the Fermi level: 10.84 states/eV/f.u. Its magnetic moment is 5.2 Bohr magnetons per cell. For the total energy, the calculation gives -8.220 eV per atom. Its volume is 85 Å³/cell.

Unit cell a=4.937 b=4.937 c=4.937 alpha=60.00 beta=60.00 gamma=60.00
Last column: magnetic moment on the atom in μB.
Fractional coordinates of all 4 atoms:
Ru: 0.750 0.750 0.750  0.43
Er: 0.000 0.000 0.000  -0.17
Au: 0.250 0.250 0.250  -0.03
Pu: 0.500 0.500 0.500  -5.16


The following is a DFT calculation (GGA-PBE) of crystalline ErPuSiAu at its relaxed geometry.

Output
The formation energy (no corrections) is -48 kJ per mole of atoms. As for the density of states at the Fermi level: 9.83 states/eV/f.u. Its magnetic moment is 6.0 Bohr magnetons per cell. For the total energy, the calculation gives -7.392 eV per atom. Its volume is 91 Å³/cell.

Unit cell a=5.044 b=5.044 c=5.044 alpha=60.00 beta=60.00 gamma=60.00
Last column: magnetic moment on the atom in μB.
Fractional coordinates of all 4 atoms:
Si: 0.250 0.250 0.250  -0.05
Er: 0.500 0.500 0.500  0.27
Au: 0.750 0.750 0.750  0.06
Pu: 0.000 0.000 0.000  5.38